(1)
! CsTlPb2, optimized geometry, DFT PBE-GGA; values from VASP
&SYSTEM
  ibrav = 0, nat = 4, ntyp = 3
/
ATOMIC_SPECIES
Cs 132.91 Cs.upf
Tl 204.38 Tl.upf
Pb 207.20 Pb.upf
ATOMIC_POSITIONS crystal
Cs 0.0000 0.0000 0.0000
Tl 0.5000 0.5000 0.5000
Pb 0.1986 0.1986 0.1986
Pb 0.8014 0.8014 0.8014
CELL_PARAMETERS angstrom
2.7549 1.5906 7.0545
-2.7549 1.5906 7.0545
0.0000 -3.1811 7.0545
! E	-2.682	eV/atom
! total magnetization	0.0	μB per formula unit

(2)
! Cs2TlPb, optimized geometry, DFT PBE-GGA; values from VASP
&SYSTEM
  ibrav = 0, nat = 4, ntyp = 3
/
ATOMIC_SPECIES
Cs 132.91 Cs.upf
Tl 204.38 Tl.upf
Pb 207.20 Pb.upf
ATOMIC_POSITIONS crystal
Cs 0.0000 0.0000 0.0000
Cs 0.3587 0.3595 0.7189
Tl 0.1801 0.7083 0.3595
Pb 0.6798 0.5037 0.3595
CELL_PARAMETERS angstrom
5.1950 0.0000 0.0000
-0.0075 7.3708 0.0000
-2.5361 -3.6854 6.0081
! E	-2.017	eV/atom
! total magnetization	0.0	μB per formula unit

(3)
! CsTl2Pb3, optimized geometry, DFT PBE-GGA; values from VASP
&SYSTEM
  ibrav = 0, nat = 12, ntyp = 3
/
ATOMIC_SPECIES
Cs 132.91 Cs.upf
Tl 204.38 Tl.upf
Pb 207.20 Pb.upf
ATOMIC_POSITIONS crystal
Cs 0.1456 0.1456 0.1513
Cs 0.8544 0.8544 0.8487
Tl 0.1698 0.1698 0.6602
Tl 0.4880 0.4880 0.1556
Tl 0.5120 0.5120 0.8444
Tl 0.8302 0.8302 0.3398
Pb 0.0015 0.0015 0.6278
Pb 0.3225 0.3225 0.1129
Pb 0.3501 0.3501 0.5635
Pb 0.6499 0.6499 0.4365
Pb 0.6775 0.6775 0.8871
Pb 0.9985 0.9985 0.3722
CELL_PARAMETERS angstrom
10.6666 -1.8582 0.0000
10.6666 1.8582 0.0000
-7.6614 0.0000 10.9794
! E	-2.800	eV/atom
! total magnetization	0.0	μB per formula unit

(4)
! Cs2Tl3Pb2, optimized geometry, DFT PBE-GGA; values from VASP
&SYSTEM
  ibrav = 0, nat = 7, ntyp = 3
/
ATOMIC_SPECIES
Cs 132.91 Cs.upf
Tl 204.38 Tl.upf
Pb 207.20 Pb.upf
ATOMIC_POSITIONS crystal
Cs 0.2129 0.2129 0.3037
Cs 0.7871 0.7871 0.6963
Tl 0.0000 0.0000 0.5000
Tl 0.4753 0.4753 0.1641
Tl 0.5247 0.5247 0.8359
Pb 0.1845 0.1845 0.8839
Pb 0.8155 0.8155 0.1161
CELL_PARAMETERS angstrom
7.1145 -2.7113 0.0000
7.1145 2.7113 0.0000
-6.0161 0.0000 7.9235
! E	-2.378	eV/atom
! total magnetization	0.0	μB per formula unit